K2Hg2Sb: single point on PBEsol structure, SCAN.

extended XYZ file:
```
10
Lattice="7.7787 0.0000 0.0000 0.0000 7.7787 0.0000 0.0000 0.0000 5.2544" Properties=species:S:1:pos:R:3 pbc="T T T"
K 1.4019 2.4874 0.0000
K 2.4874 6.3767 0.0000
K 5.2913 1.4019 0.0000
K 6.3767 5.2913 0.0000
Hg 1.0250 4.9144 2.6272
Hg 2.8643 1.0250 2.6272
Hg 4.9144 6.7536 2.6272
Hg 6.7536 2.8643 2.6272
Sb 0.0000 0.0000 2.6272
Sb 3.8893 3.8893 2.6272
```

Crystal system: tetragonal
Energy relative to the elements, uncorrected in kJ/mol of formula units: -173
Space group: P4/mbm (127)
DOS at the Fermi energy in states/eV per atom: 0.43

Zr4OsBr: single point on PBEsol structure, SCAN.

extended XYZ file:
```
6
Lattice="0.0000 3.9127 3.9127 3.9127 0.0000 3.9127 3.9127 3.9127 0.0000" Properties=species:S:1:pos:R:3 pbc="T T T"
Zr 0.9646 0.9646 0.9646
Zr 2.9482 2.9482 0.9646
Zr 2.9482 0.9646 2.9482
Zr 0.9646 2.9482 2.9482
Os 5.8691 5.8691 5.8691
Br 3.9127 3.9127 3.9127
```

Crystal system: cubic
Energy relative to the elements, uncorrected in kJ/mol of formula units: 437
Space group: F-43m (216)
DOS at the Fermi energy in states/eV per atom: 1.01

Sr3In3Ga2: single point on PBEsol structure, SCAN.

extended XYZ file:
```
16
Lattice="2.3848 -5.7578 0.0000 2.3848 5.7578 0.0000 0.0000 0.0000 16.1843" Properties=species:S:1:pos:R:3 pbc="T T T"
Sr 2.3848 4.7651 9.8567
Sr 2.3848 4.7651 14.4197
Sr 2.3848 1.5289 12.1382
Sr 2.3848 -1.5289 4.0461
Sr 2.3848 -4.7651 1.7646
Sr 2.3848 -4.7651 6.3276
In 2.3848 1.8540 4.0461
In 2.3848 1.4437 8.6415
In 2.3848 1.4437 15.6349
In 2.3848 -1.4437 0.5494
In 2.3848 -1.4437 7.5428
In 2.3848 -1.8540 12.1382
Ga 2.3848 3.3434 1.6581
Ga 2.3848 3.3434 6.4341
Ga 2.3848 -3.3434 9.7502
Ga 2.3848 -3.3434 14.5262
```

Crystal system: orthorhombic
Space group: Cmcm (63)
DOS at the Fermi energy in states/eV per atom: 0.29
Total DFT energy (no corrections) in eV/atom: -25.5469

KAgAu3: single point on PBEsol structure, SCAN.

extended XYZ file:
```
5
Lattice="5.1022 0.0000 0.0000 0.0000 5.1022 0.0000 0.0000 0.0000 5.1022" Properties=species:S:1:pos:R:3 pbc="T T T"
K 0.0000 0.0000 0.0000
Ag 2.5511 2.5511 2.5511
Au 0.0000 2.5511 2.5511
Au 2.5511 0.0000 2.5511
Au 2.5511 2.5511 0.0000
```

Crystal system: cubic
Space group: Pm-3m (221)
DOS at the Fermi energy in states/eV per atom: 0.32
Total DFT energy (no corrections) in eV/atom: -49.2749

TbSbPd: single point on PBEsol structure, SCAN.

extended XYZ file:
```
12
Lattice="4.4684 0.0000 0.0000 -2.2342 3.8698 0.0000 0.0000 0.0000 15.3060" Properties=species:S:1:pos:R:3 pbc="T T T"
Tb 0.0000 0.0000 0.0000
Tb 0.0000 0.0000 3.8265
Tb 0.0000 0.0000 7.6530
Tb 0.0000 0.0000 11.4795
Sb 0.0000 2.5799 1.7607
Sb 0.0000 2.5799 5.8924
Sb 2.2342 1.2899 9.4137
Sb 2.2342 1.2899 13.5454
Pd 0.0000 2.5799 9.8946
Pd 0.0000 2.5799 13.0645
Pd 2.2342 1.2899 2.2416
Pd 2.2342 1.2899 5.4115
```

Crystal system: hexagonal
Energy relative to the elements, uncorrected in kJ/mol of formula units: -336
Space group: P6_3/mmc (194)
DOS at the Fermi energy in states/eV per atom: 0.19

ReHgW: single point on PBEsol structure, SCAN.

extended XYZ file:
```
3
Lattice="0.0000 3.0576 3.0576 3.0576 0.0000 3.0576 3.0576 3.0576 0.0000" Properties=species:S:1:pos:R:3 pbc="T T T"
Re 0.0000 0.0000 0.0000
Hg 1.5288 1.5288 1.5288
W 3.0576 3.0576 3.0576
```

Crystal system: cubic
Space group: F-43m (216)
DOS at the Fermi energy in states/eV per atom: 1.16
Total DFT energy (no corrections) in eV/atom: -67.6777

Size of the total moment, respectively: 0.0, 0.0, 0.0, 0.0, 0.0, 0.0 μB per formula unit.